# Li13Mn2O9 | Alexandria | PBE with a Hubbard U | optimized geometry
# Calculated total energy = -251.195 eV/cell
# Size of the total moment = 2.0 μB/f.u.
# Crystal system = triclinic
data_Li13Mn2O9
_chemical_formula_sum 'Li26 Mn4 O18'
_space_group_name_H-M_alt 'P 1'
_space_group_IT_number 1
_cell_length_a 5.6989
_cell_length_b 8.1991
_cell_length_c 10.0337
_cell_angle_alpha 89.25
_cell_angle_beta 89.83
_cell_angle_gamma 89.91
loop_
_space_group_symop_operation_xyz
'x,y,z'
loop_
_atom_site_label
_atom_site_fract_x
_atom_site_fract_y
_atom_site_fract_z
Li1 0.0000 0.0000 0.0000
Li2 0.0001 0.4857 0.3331
Li3 0.0091 0.4871 0.9588
Li4 0.0219 0.0092 0.6503
Li5 0.1232 0.2194 0.8413
Li6 0.1610 0.6820 0.7970
Li7 0.1689 0.6738 0.4990
Li8 0.1898 0.2126 0.1342
Li9 0.3268 0.3637 0.6563
Li10 0.3404 0.8392 0.3206
Li11 0.3465 0.8482 0.9699
Li12 0.4720 0.0142 0.7802
Li13 0.4717 0.4828 0.1514
Li14 0.4877 0.4977 0.8444
Li15 0.5126 0.4805 0.4543
Li16 0.5152 0.0052 0.4858
Li17 0.5318 0.9973 0.1468
Li18 0.6624 0.2118 0.3170
Li19 0.6862 0.6776 0.2915
Li20 0.6882 0.6839 0.0039
Li21 0.6984 0.2189 0.6364
Li22 0.8336 0.8583 0.8216
Li23 0.8356 0.3676 0.1495
Li24 0.8573 0.8505 0.4700
Li25 0.9587 0.4807 0.6578
Li26 0.9808 0.9973 0.2805
Mn1 0.1248 0.6876 0.1442
Mn2 0.1653 0.1998 0.4585
Mn3 0.6170 0.6948 0.6456
Mn4 0.6460 0.2101 0.9589
O1 0.0132 0.7673 0.9621
O2 0.0185 0.7572 0.3300
O3 0.1444 0.4407 0.1478
O4 0.1591 0.4234 0.4954
O5 0.1677 0.4447 0.8012
O6 0.3262 0.0813 0.3237
O7 0.3266 0.0852 0.9702
O8 0.3405 0.1260 0.6173
O9 0.4774 0.7671 0.1472
O10 0.5145 0.7592 0.8173
O11 0.5237 0.7559 0.4705
O12 0.6236 0.4619 0.6455
O13 0.6761 0.4408 0.3014
O14 0.6757 0.4495 0.9933
O15 0.8211 0.0941 0.7998
O16 0.8287 0.1195 0.1381
O17 0.8565 0.0944 0.4678
O18 0.9549 0.7704 0.6453